Here is Ag3Au after structural relaxation from Alexandria. Energies are from PBE.

a = 2.966 Å, b = 2.966 Å, c = 28.368 Å
α = 90.00°, β = 90.00°, γ = 120.00°
Element x y z (fractional)
Ag: 0.000 0.000 0.000
Ag: 0.000 0.000 0.250
Ag: 0.000 0.000 0.750
Ag: 0.333 0.667 0.416
Ag: 0.333 0.667 0.667
Ag: 0.333 0.667 0.917
Ag: 0.667 0.333 0.083
Ag: 0.667 0.333 0.333
Ag: 0.667 0.333 0.584
Au: 0.000 0.000 0.500
Au: 0.333 0.667 0.167
Au: 0.667 0.333 0.833

## Properties
Energy of formation ... 0.032 eV/atom
D(E_F) ... 1.7 states/eV/f.u.
Total energy ... -35.1 eV for the cell shown
V ... 18.01 Å³ per atom